Record 1
Material: TaFe2Au
Method: DFT, PBE
State: optimized geometry

Summary:
* distance to the lowest polymorph of the same formula: 222 meV per atom
* calculated formation energy: 0.2300 eV/atom

Cell: 8.781 8.781 8.781 Å, 18.81 18.81 18.81°
Each line ends with the local moment (μB).
Positions (direct):
Fe 0.993 0.993 0.993  2.79
Fe 0.256 0.256 0.256  2.35
Ta 0.506 0.506 0.506  -0.12
Au 0.745 0.745 0.745  0.05

Record 2
Material: TaFe2Au
Method: DFT, PBE
State: optimized geometry

Summary:
* distance to the lowest polymorph of the same formula: 46 meV per atom
* calculated formation energy: 0.0537 eV/atom

Cell: 4.641 4.641 4.641 Å, 129.60 129.59 74.05°
Each line ends with the local moment (μB).
Positions (direct):
Fe 0.000 0.000 0.000  1.96
Au 0.250 0.750 0.500  -0.01
Fe 0.500 0.500 0.000  1.96
Ta 0.750 0.250 0.500  -0.57

Record 3
Material: TaFe3Au
Method: DFT, PBE
State: optimized geometry

Summary:
* distance to the lowest polymorph of the same formula: 0 meV per atom
* calculated formation energy: 1.4230 eV/atom

Cell: 4.498 4.498 4.498 Å, 90.00 90.00 90.00°
Each line ends with the local moment (μB).
Positions (direct):
Au 0.500 0.500 0.500  -0.02
Fe 0.000 0.500 0.000  1.97
Fe 0.500 0.000 0.000  1.66
Fe 0.000 0.000 0.500  2.01
Ta 0.000 0.000 0.000  -0.60

Record 4
Material: TaFe4Au
Method: DFT, PBE
State: optimized geometry

Summary:
* calculated formation energy: -0.0943 eV/atom

Cell: 4.805 4.805 4.805 Å, 60.00 60.00 60.00°
Each line ends with the local moment (μB).
Positions (direct):
Fe 0.877 0.374 0.374  1.76
Fe 0.374 0.374 0.374  1.76
Ta 0.750 0.750 0.750  -0.56
Au 0.000 0.000 0.000  0.01
Fe 0.374 0.877 0.374  1.76
Fe 0.374 0.374 0.877  1.76

> What is the formula in the third record?

TaFe3Au